[1]
First-principles (PBE) data for a geometry-optimized Al5Fe6Ge structure, as listed in Alexandria via LeMat-Bulk.

abc: 6.417 6.417 5.743
angles: 90.00 90.00 143.13
Fractional coordinates of all 12 atoms:
Al 0.000 0.000 0.000
Al 0.327 0.673 0.500
Al 0.332 0.668 0.000
Al 0.668 0.332 0.000
Al 0.673 0.327 0.500
Fe 0.163 0.837 0.252
Fe 0.163 0.837 0.748
Fe 0.500 0.500 0.258
Fe 0.500 0.500 0.742
Fe 0.837 0.163 0.252
Fe 0.837 0.163 0.748
Ge 0.000 0.000 0.500

Computed properties:
Raw total energy   -77.7 eV/f.u.
Formation enthalpy at 0 K   -300.8 meV/atom
Total magnetic moment   3.3 μB per formula unit

[2]
First-principles (PBE) data for a geometry-optimized AlFeGe2 structure, as listed in Alexandria via LeMat-Bulk.

abc: 2.922 2.922 26.085
angles: 90.00 90.00 120.00
Fractional coordinates of all 12 atoms:
Al 0.000 0.000 0.000
Al 0.333 0.667 0.667
Al 0.667 0.333 0.333
Fe 0.000 0.000 0.500
Fe 0.333 0.667 0.167
Fe 0.667 0.333 0.833
Ge 0.000 0.000 0.099
Ge 0.000 0.000 0.901
Ge 0.333 0.667 0.567
Ge 0.333 0.667 0.766
Ge 0.667 0.333 0.234
Ge 0.667 0.333 0.433

Computed properties:
Raw total energy   -21.2 eV/f.u.
Formation enthalpy at 0 K   57.5 meV/atom
Total magnetic moment   0.9 μB per formula unit

[3]
First-principles (PBE) data for a geometry-optimized AlFeGe3 structure, as listed in Alexandria via LeMat-Bulk.

abc: 4.598 4.598 4.598
angles: 90.00 90.00 90.00
Fractional coordinates of all 5 atoms:
Al 0.000 0.000 0.000
Fe 0.500 0.500 0.500
Ge 0.000 0.500 0.500
Ge 0.500 0.000 0.500
Ge 0.500 0.500 0.000

Computed properties:
Raw total energy   -24.5 eV/f.u.
Formation enthalpy at 0 K   306.6 meV/atom
E above lowest polymorph   0.0 meV per atom
Total magnetic moment   0.0 μB per formula unit

[4]
First-principles (PBE) data for a geometry-optimized Al4Fe7Ge6 structure, as listed in Alexandria via LeMat-Bulk.

abc: 6.688 6.688 6.688
angles: 109.47 109.47 109.47
Fractional coordinates of all 17 atoms:
Al 0.000 0.000 0.500
Al 0.000 0.500 0.000
Al 0.500 0.000 0.000
Al 0.500 0.500 0.500
Fe 0.000 0.000 0.000
Fe 0.250 0.500 0.750
Fe 0.250 0.750 0.500
Fe 0.500 0.250 0.750
Fe 0.500 0.750 0.250
Fe 0.750 0.250 0.500
Fe 0.750 0.500 0.250
Ge 0.000 0.303 0.303
Ge 0.000 0.697 0.697
Ge 0.303 0.000 0.303
Ge 0.303 0.303 0.000
Ge 0.697 0.000 0.697
Ge 0.697 0.697 0.000

Computed properties:
Raw total energy   -104.4 eV/f.u.
Formation enthalpy at 0 K   -143.5 meV/atom
Total magnetic moment   8.9 μB per formula unit

[5]
First-principles (PBE) data for a geometry-optimized AlFe2Ge2 structure, as listed in Alexandria via LeMat-Bulk.

abc: 6.916 6.916 2.763
angles: 90.00 90.00 90.00
Fractional coordinates of all 10 atoms:
Al 0.000 0.000 0.000
Al 0.500 0.500 0.000
Fe 0.155 0.345 0.500
Fe 0.345 0.845 0.500
Fe 0.655 0.155 0.500
Fe 0.845 0.655 0.500
Ge 0.141 0.641 0.000
Ge 0.359 0.141 0.000
Ge 0.641 0.859 0.000
Ge 0.859 0.359 0.000

Computed properties:
Raw total energy   -29.5 eV/f.u.
Formation enthalpy at 0 K   72.4 meV/atom
Total magnetic moment   0.0 μB per formula unit

[6]
First-principles (PBE) data for a geometry-optimized Al6FeGe structure, as listed in Alexandria via LeMat-Bulk.

abc: 5.501 5.501 5.501
angles: 109.17 109.17 109.17
Fractional coordinates of all 8 atoms:
Al 0.249 0.249 0.727
Al 0.249 0.727 0.249
Al 0.273 0.751 0.751
Al 0.727 0.249 0.249
Al 0.751 0.273 0.751
Al 0.751 0.751 0.273
Fe 0.500 0.500 0.500
Ge 0.000 0.000 0.000

Computed properties:
Raw total energy   -34.9 eV/f.u.
Formation enthalpy at 0 K   77.9 meV/atom
Total magnetic moment   1.3 μB per formula unit

[7]
First-principles (PBE) data for a geometry-optimized Al2Fe2Ge structure, as listed in Alexandria via LeMat-Bulk.

abc: 7.245 7.245 2.686
angles: 90.00 90.00 90.00
Fractional coordinates of all 10 atoms:
Al 0.132 0.368 0.000
Al 0.368 0.868 0.000
Al 0.632 0.132 0.000
Al 0.868 0.632 0.000
Fe 0.163 0.663 0.500
Fe 0.337 0.163 0.500
Fe 0.663 0.837 0.500
Fe 0.837 0.337 0.500
Ge 0.000 0.000 0.000
Ge 0.500 0.500 0.000

Computed properties:
Raw total energy   -28.7 eV/f.u.
Formation enthalpy at 0 K   74.4 meV/atom
E above lowest polymorph   248.5 meV per atom
Total magnetic moment   3.3 μB per formula unit

[8]
First-principles (PBE) data for a geometry-optimized Al3FeGe structure, as listed in Alexandria via LeMat-Bulk.

abc: 4.519 4.519 4.519
angles: 90.00 90.00 90.00
Fractional coordinates of all 5 atoms:
Al 0.000 0.000 0.500
Al 0.000 0.500 0.000
Al 0.500 0.000 0.000
Fe 0.000 0.000 0.000
Ge 0.500 0.500 0.500

Computed properties:
Raw total energy   -23.0 eV/f.u.
Formation enthalpy at 0 K   251.6 meV/atom
E above lowest polymorph   0.0 meV per atom
Total magnetic moment   1.0 μB per formula unit

What is the raw total energy in the second record?
-21.2 eV/f.u.

Please write out number 3 again, unchanged.
First-principles (PBE) data for a geometry-optimized AlFeGe3 structure, as listed in Alexandria via LeMat-Bulk.

abc: 4.598 4.598 4.598
angles: 90.00 90.00 90.00
Fractional coordinates of all 5 atoms:
Al 0.000 0.000 0.000
Fe 0.500 0.500 0.500
Ge 0.000 0.500 0.500
Ge 0.500 0.000 0.500
Ge 0.500 0.500 0.000

Computed properties:
Raw total energy   -24.5 eV/f.u.
Formation enthalpy at 0 K   306.6 meV/atom
E above lowest polymorph   0.0 meV per atom
Total magnetic moment   0.0 μB per formula unit

total magnetic moment of number 3 (AlFeGe3)?
0.0 μB per formula unit